No. 1
Here is Pt2Pb after structural relaxation from the Alexandria database. Energies are from GGA-PBE.

The structure belongs to space group P6/mmm (No. 191); the cell edges are 4.4236, 4.4236 and 3.8753 Å and the angles 90.00°, 90.00° and 120.00°. The distinct sites, in fractional coordinates, are Pt at (0.3333, 0.6667, 0.0000) and Pb at (0.0000, 0.0000, 0.5000).

For the energy of formation from the pure elements, the calculation gives 0.058 eV/atom. The value obtained for the uncorrected energy is -5.205 eV/atom.

***

No. 2
Here is Cs2KSn2Te4 after structural relaxation from the Alexandria database. Energies are from GGA-PBE.

The structure belongs to space group C2/m (No. 12); the cell edges are 17.8249, 5.7392 and 8.3336 Å and the angles 90.00°, 106.96° and 90.00°. The distinct sites, in fractional coordinates, are Cs at (0.1329, 0.0000, 0.0671), K at (0.0000, 0.0000, 0.5000), Sn at (0.1685, 0.5000, 0.5177), Te at (0.0312, 0.5000, 0.2391) and Te at (0.2075, 0.0000, 0.6580).

The calculation puts the formation energy without anion corrections at -6.260 eV/f.u. The value obtained for the uncorrected energy is -3.293 eV/atom.

***

No. 3
Here is TlCuO after structural relaxation from the Alexandria database. Energies are from GGA-PBE.

The structure belongs to space group Pnma (No. 62); the cell edges are 8.4610, 3.5625 and 7.8578 Å and the angles 90.00°, 90.00° and 90.00°. The distinct sites, in fractional coordinates, are Tl at (0.0027, 0.2500, 0.2453), Cu at (0.2438, 0.7500, 0.4999) and O at (0.2120, 0.2500, 0.4849).

The distance to the lowest polymorph of the same formula comes out at 0.083 eV/atom. The calculation puts the formation energy without anion corrections at -1.229 eV/f.u. The value obtained for the uncorrected energy is -4.216 eV/atom.

***

No. 4
Here is CsRb2SF after structural relaxation from the Alexandria database. Energies are from GGA-PBE.

The structure belongs to space group P4/mmm (No. 123); the cell edges are 5.4301, 5.4301 and 5.6572 Å and the angles 90.00°, 90.00° and 90.00°. The distinct sites, in fractional coordinates, are Cs at (0.0000, 0.0000, 0.0000), Rb at (0.0000, 0.5000, 0.5000), S at (0.5000, 0.5000, 0.0000) and F at (0.0000, 0.0000, 0.5000).

The calculation puts the formation energy without anion corrections at -7.872 eV/f.u. The value obtained for the uncorrected energy is -3.332 eV/atom.

***

No. 5
Here is Na2LiGeAs2 after structural relaxation from the Alexandria database. Energies are from GGA-PBE.

The structure belongs to space group Ibam (No. 72); the cell edges are 6.0185, 14.1123 and 6.2956 Å and the angles 90.00°, 90.00° and 90.00°. The distinct sites, in fractional coordinates, are Na at (0.2410, 0.1767, 0.0000), Li at (0.0000, 0.0000, 0.2500), Ge at (0.0000, 0.5000, 0.2500) and As at (0.2393, 0.3924, 0.0000).

For the energy of formation from the pure elements, the calculation gives -0.401 eV/atom. The value obtained for the uncorrected energy is -3.479 eV/atom.

***

No. 6
Here is GeTeP2 after structural relaxation from the Alexandria database. Energies are from GGA-PBE.

The structure belongs to space group I-42d (No. 122); the cell edges are 6.6012, 6.6012 and 8.7657 Å and the angles 90.00°, 90.00° and 90.00°. The distinct sites, in fractional coordinates, are Ge at (0.0000, 0.0000, 0.0000), Te at (0.0000, 0.0000, 0.5000) and P at (0.2034, 0.2500, 0.1250).

The distance to the lowest polymorph of the same formula comes out at 0.000 eV/atom. The calculation puts the formation energy without anion corrections at 1.360 eV/f.u. The value obtained for the uncorrected energy is -4.305 eV/atom.

***

No. 7
Here is AlVHRh2 after structural relaxation from the Alexandria database. Energies are from GGA-PBE.

The structure belongs to space group P4/mmm (No. 123); the cell edges are 3.9847, 3.9847 and 3.7049 Å and the angles 90.00°, 90.00° and 90.00°. The distinct sites, in fractional coordinates, are Al at (0.0000, 0.0000, 0.0000), V at (0.5000, 0.5000, 0.0000), H at (0.5000, 0.5000, 0.5000) and Rh at (0.0000, 0.5000, 0.5000).

The value obtained for the uncorrected energy is -6.590 eV/atom.

***

No. 8
Here is ErGaCuHg after structural relaxation from the Alexandria database. Energies are from GGA-PBE.

The structure belongs to space group F-43m (No. 216); the cell edges are 6.8012, 6.8012 and 6.8012 Å and the angles 90.00°, 90.00° and 90.00°. The distinct sites, in fractional coordinates, are Er at (0.0000, 0.0000, 0.0000), Ga at (0.0000, 0.0000, 0.5000), Cu at (0.2500, 0.2500, 0.7500) and Hg at (0.2500, 0.2500, 0.2500).

For the energy of formation from the pure elements, the calculation gives -0.241 eV/atom. The value obtained for the uncorrected energy is -3.238 eV/atom.

***

No. 9
Here is Er10NiSb5 after structural relaxation from the Alexandria database. Energies are from GGA-PBE.

The structure belongs to space group Pmc2_1 (No. 26); the cell edges are 9.1410, 7.8921 and 11.8434 Å and the angles 90.00°, 90.00° and 90.00°. The distinct sites, in fractional coordinates, are Er at (0.0000, 0.0765, 0.0000), Er at (0.0000, 0.2331, 0.2797), Er at (0.0000, 0.4067, 0.5593), Er at (0.2208, 0.4315, 0.8409), Er at (0.3159, 0.0640, 0.7096), Er at (0.5000, 0.1201, 0.9718), Er at (0.5000, 0.2985, 0.2755), Er at (0.5000, 0.4074, 0.5691), Ni at (0.5000, 0.3289, 0.7886), Sb at (0.0000, 0.1574, 0.7487), Sb at (0.2413, 0.3159, 0.1026) and Sb at (0.2584, 0.1816, 0.4482).

The calculation puts the formation energy without anion corrections at -12.881 eV/f.u. The value obtained for the uncorrected energy is -5.306 eV/atom.

***

No. 10
Here is BaLi2ScAg after structural relaxation from the Alexandria database. Energies are from GGA-PBE.

The structure belongs to space group P4/mmm (No. 123); the cell edges are 5.1560, 5.1560 and 6.1163 Å and the angles 90.00°, 90.00° and 90.00°. The distinct sites, in fractional coordinates, are Ba at (0.0000, 0.0000, 0.0000), Li at (0.0000, 0.5000, 0.5000), Sc at (0.5000, 0.5000, 0.0000) and Ag at (0.0000, 0.0000, 0.5000).

For the energy of formation from the pure elements, the calculation gives 0.404 eV/atom. The value obtained for the uncorrected energy is -2.583 eV/atom.

***

No. 11
Here is CaHgRh2 after structural relaxation from the Alexandria database. Energies are from GGA-PBE.

The structure belongs to space group P2/m (No. 10); the cell edges are 2.9943, 4.6878 and 5.4286 Å and the angles 90.00°, 97.89° and 90.00°. The distinct sites, in fractional coordinates, are Ca at (0.0000, 0.0000, 0.0000), Hg at (0.5000, 0.0000, 0.5000) and Rh at (0.3105, 0.5000, 0.7253).

For the energy of formation from the pure elements, the calculation gives 0.025 eV/atom. The value obtained for the uncorrected energy is -4.227 eV/atom.

***

No. 12
Here is RbHgAuCl6 after structural relaxation from the Alexandria database. Energies are from GGA-PBE.

The structure belongs to space group P312 (No. 149); the cell edges are 6.8679, 6.8679 and 7.2539 Å and the angles 90.00°, 90.00° and 120.00°. The distinct sites, in fractional coordinates, are Rb at (0.0000, 0.0000, 0.0000), Hg at (0.6667, 0.3333, 0.5000), Au at (0.3333, 0.6667, 0.5000) and Cl at (0.0202, 0.3819, 0.2968).

The calculation puts the formation energy without anion corrections at -6.052 eV/f.u. The value obtained for the uncorrected energy is -2.409 eV/atom.